# 1
MgHOs3: relaxed, PBE.

Cell: 3.9544 3.9544 3.9544 Å, 90.00 90.00 90.00°
Space group Pm-3m (No. 221)
Symmetry-distinct sites (fractional):
Mg: 0.0000 0.0000 0.0000
H: 0.5000 0.5000 0.5000
Os: 0.0000 0.5000 0.5000

Calculated values
The value obtained for the energy above the most stable polymorph in this dataset is 0 meV per atom. The mass density is 16.00 Mg/m³. The value obtained for the density of states at the Fermi level is 0.938 states/eV per atom.

# 2
Mg3HOs: relaxed, PBE.

Cell: 5.0123 5.0123 5.0123 Å, 90.00 90.00 90.00°
Space group Pm-3m (No. 221)
Symmetry-distinct sites (fractional):
Mg: 0.0000 0.0000 0.5000
H: 0.5000 0.5000 0.5000
Os: 0.0000 0.0000 0.0000

Calculated values
The value obtained for the energy above the most stable polymorph in this dataset is 881 meV per atom. The mass density is 3.48 Mg/m³. The value obtained for the density of states at the Fermi level is 0.538 states/eV per atom.

# 3
MgHOs3: relaxed, PBE.

Cell: 4.5134 4.5134 4.5134 Å, 90.00 90.00 90.00°
Space group Pm-3m (No. 221)
Symmetry-distinct sites (fractional):
Mg: 0.0000 0.0000 0.0000
H: 0.5000 0.5000 0.5000
Os: 0.0000 0.0000 0.5000

Calculated values
The value obtained for the energy above the most stable polymorph in this dataset is 2795 meV per atom. The mass density is 10.76 Mg/m³. The value obtained for the density of states at the Fermi level is 1.317 states/eV per atom.

# 4
MgHOs2: relaxed, PBE.

Cell: 5.0462 5.0462 9.0926 Å, 90.00 90.00 90.00°
Space group I4_1/amd (No. 141, origin choice 2)
Symmetry-distinct sites (fractional):
Mg: 0.0000 0.2500 0.3750
H: 0.0000 0.2500 0.8750
Os: 0.0000 0.0000 0.0000

Calculated values
The value obtained for the energy above the most stable polymorph in this dataset is 0 meV per atom. The mass density is 11.64 Mg/m³. The value obtained for the density of states at the Fermi level is 0.635 states/eV per atom.